No. 1
Density functional theory data (PBE-GGA) for a relaxed structure of Ac4La5Pm2.

Values from the calculation:
- final energy (eV/cell) = -47.86
- density of states at the Fermi level (states/eV per cell) = 18.510
- formation energy from the elements (eV/atom) = 0.247

Cell and atoms, written as extended XYZ:
```
11
Lattice="3.664 0.000 -0.558 -0.332 12.432 -2.179 -0.341 -1.802 10.061" Properties=species:S:1:pos:R:3 pbc="T T T"
La 0.452 -0.027 2.967
La 1.832 0.000 -0.279
La 2.667 1.334 5.199
Ac 2.254 3.613 2.490
La 2.538 10.658 4.357
La 0.324 9.297 2.125
Ac 3.212 1.355 8.780
Ac -0.222 9.275 -1.456
Ac 0.737 7.017 4.834
Pm 2.876 4.332 6.572
Pm 0.114 6.299 0.751
```

No. 2
Density functional theory data (PBE-GGA) for a relaxed structure of AcLaPm4.

Values from the calculation:
- final energy (eV/cell) = -27.87
- density of states at the Fermi level (states/eV per cell) = 10.551
- formation energy from the elements (eV/atom) = 0.028

Cell and atoms, written as extended XYZ:
```
6
Lattice="-1.152 -3.286 1.363 2.237 1.643 5.831 -7.524 2.855 5.632" Properties=species:S:1:pos:R:3 pbc="T T T"
Pm -2.385 -0.951 5.940
Pm -0.700 1.524 8.190
La 0.543 -0.822 3.597
Ac 0.000 0.000 0.000
Pm -5.738 -0.312 4.637
Pm -4.053 2.162 6.886
```

No. 3
Density functional theory data (PBE-GGA) for a relaxed structure of AcLaPm2.

Values from the calculation:
- final energy (eV/cell) = -18.42
- density of states at the Fermi level (states/eV per cell) = 7.207
- formation energy from the elements (eV/atom) = 0.028

Cell and atoms, written as extended XYZ:
```
4
Lattice="-3.368 -0.850 1.533 1.197 -3.541 0.665 3.512 2.943 9.348" Properties=species:S:1:pos:R:3 pbc="T T T"
La -1.085 -2.196 1.099
Pm 0.849 0.711 2.259
Pm 2.663 2.232 7.089
Ac 0.671 -0.724 5.773
```

No. 4
Density functional theory data (PBE-GGA) for a relaxed structure of AcLa2Pm2.

Values from the calculation:
- final energy (eV/cell) = -22.09
- density of states at the Fermi level (states/eV per cell) = 8.681
- formation energy from the elements (eV/atom) = 0.274

Cell and atoms, written as extended XYZ:
```
5
Lattice="4.857 0.000 0.000 0.000 4.857 0.000 -2.429 -2.429 8.118" Properties=species:S:1:pos:R:3 pbc="T T T"
Ac 0.000 0.000 0.000
Pm 2.429 0.000 4.059
La 0.000 0.000 6.558
La 2.429 2.429 1.559
Pm 0.000 2.429 4.059
```

No. 5
Density functional theory data (PBE-GGA) for a relaxed structure of Ac12La7Pm.

Values from the calculation:
- final energy (eV/cell) = -76.76
- density of states at the Fermi level (states/eV per cell) = 34.614
- formation energy from the elements (eV/atom) = 0.589

Cell and atoms, written as extended XYZ:
```
20
Lattice="9.981 0.000 -3.529 -4.990 8.644 -3.529 0.000 0.000 10.586" Properties=species:S:1:pos:R:3 pbc="T T T"
La 4.990 0.000 -1.764
Ac -2.537 7.948 3.588
Ac -1.109 6.867 -2.961
La 4.990 0.000 3.529
Ac 5.615 6.171 -3.588
Ac -0.624 2.473 7.117
Ac 1.511 6.171 4.097
La -2.495 4.322 3.529
La -2.495 4.322 -1.764
La 2.495 4.322 1.764
La 0.000 0.000 5.293
Ac 3.161 6.867 0.059
Pm 0.000 0.000 0.000
Ac 5.392 4.394 2.961
Ac 3.479 2.473 -0.568
Ac 7.528 0.696 -0.059
Ac 1.829 1.777 3.470
Ac -0.402 4.249 0.568
La 2.495 4.322 -3.529
Ac 6.100 1.777 6.490
```

No. 6
Density functional theory data (PBE-GGA) for a relaxed structure of Ac5La4Pm.

Values from the calculation:
- final energy (eV/cell) = -85.84
- density of states at the Fermi level (states/eV per cell) = 34.165
- formation energy from the elements (eV/atom) = 0.208

Cell and atoms, written as extended XYZ:
```
20
Lattice="-0.982 1.888 5.817 -10.089 -5.036 -0.069 5.115 -10.304 4.207" Properties=species:S:1:pos:R:3 pbc="T T T"
Ac -2.286 -3.248 5.614
La -0.093 -5.877 3.549
Ac 1.912 -8.769 4.818
Ac -4.283 -11.862 4.775
La -3.376 0.095 4.337
Ac -5.288 -2.050 1.409
La 3.452 -7.022 7.800
Ac -0.267 -7.317 7.276
Ac -4.161 -9.260 7.249
La -5.375 -8.514 3.513
Ac -1.183 -2.534 2.272
Ac -7.378 -5.627 2.229
La 0.192 -0.454 5.119
Ac 1.819 -3.733 6.477
Ac -6.181 -5.192 5.588
La -1.806 -9.064 4.293
La -8.183 -2.305 4.304
La -3.661 -5.328 2.767
Pm -3.226 -6.250 6.445
Pm -0.243 0.467 1.440
```

No. 7
Density functional theory data (PBE-GGA) for a relaxed structure of Ac2La3Pm5.

Values from the calculation:
- final energy (eV/cell) = -89.87
- density of states at the Fermi level (states/eV per cell) = 35.716
- formation energy from the elements (eV/atom) = 0.182

Cell and atoms, written as extended XYZ:
```
20
Lattice="-5.548 6.507 -6.650 0.598 -2.037 -10.562 -3.276 -6.609 9.124" Properties=species:S:1:pos:R:3 pbc="T T T"
Ac -1.498 -2.198 -9.496
Pm -6.899 -0.561 -5.540
La -3.764 -6.790 -3.128
Pm -1.326 -1.579 -2.548
Pm -3.745 0.592 -11.078
Ac -3.595 1.195 -4.129
Pm -3.690 -1.371 -6.709
La -4.462 4.651 -4.961
Pm -4.480 -2.731 2.990
La -4.538 2.071 -7.505
Pm -6.970 2.744 -4.735
La -3.688 -4.211 -0.584
Pm -1.182 0.537 -6.935
La -0.520 -3.048 -6.123
Pm -1.256 -4.883 -3.354
Ac -4.631 -3.334 -3.960
La -7.706 0.909 -1.966
Pm -4.535 -0.768 -1.379
Pm -7.044 -2.676 -1.153
Ac -6.728 0.058 1.408
```

No. 8
Density functional theory data (PBE-GGA) for a relaxed structure of Ac5La2Pm4.

Values from the calculation:
- final energy (eV/cell) = -47.94
- density of states at the Fermi level (states/eV per cell) = 18.575
- formation energy from the elements (eV/atom) = 0.133

Cell and atoms, written as extended XYZ:
```
11
Lattice="-2.552 1.247 2.426 -8.873 -0.554 -9.047 7.176 -8.247 11.787" Properties=species:S:1:pos:R:3 pbc="T T T"
Ac -1.143 -7.038 2.415
Pm -3.449 -4.166 1.390
Ac -4.436 -0.277 -4.524
La -6.093 -3.466 -4.627
La 4.396 -5.335 7.367
Ac -3.235 -2.600 -2.067
Ac 1.538 -6.201 4.806
Pm 3.973 -7.085 10.696
Pm -8.222 -0.469 -5.531
Pm -0.800 -3.387 3.776
Ac -0.554 -1.763 0.324
```

No. 9
Density functional theory data (PBE-GGA) for a relaxed structure of Ac2La12Pm5.

Values from the calculation:
- final energy (eV/cell) = -89.31
- density of states at the Fermi level (states/eV per cell) = 29.039
- formation energy from the elements (eV/atom) = 0.094

Cell and atoms, written as extended XYZ:
```
19
Lattice="-9.493 5.011 5.237 -0.436 -9.844 -4.992 2.215 -1.858 5.792" Properties=species:S:1:pos:R:3 pbc="T T T"
La -4.788 0.612 4.356
Pm -3.142 -4.986 -0.925
La -0.767 -7.850 -1.004
La -2.927 -7.303 1.682
Ac -2.737 1.445 1.510
Pm -0.997 -4.229 2.239
Ac -6.756 3.566 3.727
La -1.007 -1.561 -0.333
La -1.982 -1.463 4.302
La -5.733 -5.228 1.736
La -3.946 -2.189 1.501
La -8.867 0.409 4.216
Pm -4.573 -1.705 6.963
La -6.707 -5.131 6.371
La 1.153 -7.100 1.822
Pm 1.107 -0.929 2.896
La -6.948 1.158 7.042
Pm -6.718 -2.462 3.799
La -3.769 -4.502 4.537
```

No. 10
Density functional theory data (PBE-GGA) for a relaxed structure of Ac2LaPm5.

Values from the calculation:
- final energy (eV/cell) = -73.34
- density of states at the Fermi level (states/eV per cell) = 28.978
- formation energy from the elements (eV/atom) = 0.029

Cell and atoms, written as extended XYZ:
```
16
Lattice="-1.139 -1.701 -4.922 5.942 -4.511 0.185 -8.454 -10.902 5.724" Properties=species:S:1:pos:R:3 pbc="T T T"
Pm -6.328 -8.208 4.301
La 2.971 -2.255 0.092
Pm -2.274 -6.054 -0.268
Ac -0.164 -3.339 -1.694
Pm 0.000 0.000 0.000
Ac 0.709 -8.300 -0.182
Pm 3.816 -7.204 1.607
Pm -3.335 -10.435 4.379
Pm 2.813 -5.581 -1.608
Pm 0.823 -4.977 1.530
Pm -6.463 -11.533 2.595
Pm -1.256 -7.706 2.954
Ac -4.360 -8.814 1.169
Ac -3.486 -13.774 2.681
Pm -1.377 -11.060 1.255
La -4.227 -5.451 2.862
```

No. 11
Density functional theory data (PBE-GGA) for a relaxed structure of Ac3La2Pm7.

Values from the calculation:
- final energy (eV/cell) = -52.75
- density of states at the Fermi level (states/eV per cell) = 18.032
- formation energy from the elements (eV/atom) = 0.224

Cell and atoms, written as extended XYZ:
```
12
Lattice="3.790 0.000 -0.494 0.000 5.943 0.000 0.811 0.000 20.755" Properties=species:S:1:pos:R:3 pbc="T T T"
Pm 2.349 0.000 3.281
Ac 1.895 2.971 -0.247
Pm 0.000 0.000 0.000
Ac 0.998 0.000 7.614
La 1.958 2.971 14.725
Ac 3.604 0.000 12.647
Pm 2.252 0.000 16.980
La 2.643 2.971 5.536
Pm 4.229 2.971 17.368
Pm 3.074 2.971 8.674
Pm 1.527 2.971 11.587
Pm 0.372 2.971 2.893
```

No. 12
Density functional theory data (PBE-GGA) for a relaxed structure of Ac2LaPm6.

Values from the calculation:
- final energy (eV/cell) = -40.04
- density of states at the Fermi level (states/eV per cell) = 21.404
- formation energy from the elements (eV/atom) = 0.179

Cell and atoms, written as extended XYZ:
```
9
Lattice="3.555 0.000 0.000 0.000 10.435 0.000 0.000 -5.218 9.037" Properties=species:S:1:pos:R:3 pbc="T T T"
Ac 1.777 0.000 6.025
Pm 0.798 3.445 0.000
Pm 2.757 1.723 2.984
La 0.000 0.000 0.000
Pm 2.757 -3.495 6.053
Pm 2.757 6.990 0.000
Pm 0.798 3.495 6.053
Pm 0.798 -1.723 2.984
Ac 1.777 5.218 3.012
```